[1]
{
  "formula": "Ca5CeS6",
  "functional": "PBE",
  "state": "optimized geometry",
  "raw_formation_energy_ev_per_atom": -2.081,
  "total_energy_ev_per_cell": -65.682,
  "volume_a3_per_cell": 281.1,
  "magmom_total_mub_per_atom": 0.10,
  "n_ef_per_ev_cell": 8.17,
  "mass_density_kg_m3": 3147,
  "cell": [[6.9282, 0.1679, 1.0519], [1.7010, 5.8743, 3.4244], [0.1161, 0.0631, 7.0072]],
  "species": ["Ca", "Ca", "Ca", "Ca", "Ca", "S", "S", "S", "S", "S", "S", "Ce"],
  "fractional_positions": [[0.5000, 0.1670, 0.6659], [0.0000, 0.3332, 0.3335], [0.5000, 0.5000, 0.0000], [0.0000, 0.6668, 0.6665], [0.5000, 0.8330, 0.3341], [0.7492, 0.0837, 0.3340], [0.2508, 0.5823, 0.3340], [0.2505, 0.2506, 0.0000], [0.7495, 0.7494, 0.0000], [0.7492, 0.4177, 0.6660], [0.2508, 0.9163, 0.6660], [0.0000, 0.0000, 0.0000]]
}

---

[2]
{
  "formula": "Ca4CeS5",
  "functional": "PBE",
  "state": "optimized geometry",
  "raw_formation_energy_ev_per_atom": -2.097,
  "total_energy_ev_per_cell": -55.545,
  "volume_a3_per_cell": 233.8,
  "magmom_total_mub_per_atom": 0.13,
  "n_ef_per_ev_cell": 6.40,
  "mass_density_kg_m3": 3273,
  "cell": [[-0.6696, 3.6563, 1.5757], [-3.0300, 0.5685, -2.6068], [-7.3245, -7.8491, 9.9282]],
  "species": ["Ca", "Ca", "Ca", "Ca", "Ce", "S", "S", "S", "S", "S"],
  "fractional_positions": [[0.3993, 0.3993, 0.7985], [0.7995, 0.7995, 0.5991], [0.2005, 0.2005, 0.4009], [0.6007, 0.6007, 0.2015], [0.0000, 0.0000, 0.0000], [0.1007, 0.1007, 0.2014], [0.5000, 0.5000, 0.0000], [0.8993, 0.8993, 0.7986], [0.3000, 0.3000, 0.6000], [0.7000, 0.7000, 0.4000]]
}

---

[3]
{
  "formula": "CaCe5S8",
  "functional": "PBE",
  "state": "optimized geometry",
  "raw_formation_energy_ev_per_atom": -2.028,
  "total_energy_ev_per_cell": -93.082,
  "volume_a3_per_cell": 311.3,
  "magmom_total_mub_per_atom": 0.43,
  "n_ef_per_ev_cell": 27.59,
  "mass_density_kg_m3": 5320,
  "cell": [[6.9937, 0.0000, -2.4025], [-3.4906, 6.0223, -2.4962], [-0.0125, 0.0000, 7.3948]],
  "species": ["Ca", "Ce", "Ce", "Ce", "Ce", "Ce", "S", "S", "S", "S", "S", "S", "S", "S"],
  "fractional_positions": [[0.2500, 0.5000, 0.7500], [0.0027, 0.3752, 0.1278], [0.8722, 0.8749, 0.2474], [0.7526, 0.6248, 0.6275], [0.5000, 0.0000, 0.5000], [0.3725, 0.1251, 0.9973], [0.1287, 0.7507, 0.0260], [0.9740, 0.1027, 0.7247], [0.7684, 0.2460, 0.3687], [0.6313, 0.3997, 0.8773], [0.4776, 0.6003, 0.2316], [0.6219, 0.8973, 0.8713], [0.2753, 0.2493, 0.3781], [0.1227, 0.7540, 0.5224]]
}

---

[4]
{
  "formula": "CaCeSm4S8",
  "functional": "PBE",
  "state": "optimized geometry",
  "raw_formation_energy_ev_per_atom": -1.961,
  "total_energy_ev_per_cell": -87.292,
  "volume_a3_per_cell": 400.9,
  "magmom_total_mub_per_atom": 0.10,
  "n_ef_per_ev_cell": 9.82,
  "mass_density_kg_m3": 4300,
  "cell": [[8.2578, 0.0000, 0.0000], [4.1289, 7.1515, 0.0000], [4.1289, 2.3838, 6.7880]],
  "species": ["Ca", "Ce", "Sm", "Sm", "Sm", "Sm", "S", "S", "S", "S", "S", "S", "S", "S"],
  "fractional_positions": [[0.3751, 0.3751, 0.8748], [0.0013, 0.0013, 0.9961], [0.6251, 0.6251, 0.1248], [0.0018, 0.4949, 0.5015], [0.4949, 0.0018, 0.5015], [0.0018, 0.0018, 0.5015], [0.2426, 0.7773, 0.7375], [0.7773, 0.2426, 0.7375], [0.2426, 0.2426, 0.7375], [0.2410, 0.2410, 0.2769], [0.7558, 0.2271, 0.2613], [0.2271, 0.7558, 0.2613], [0.7558, 0.7558, 0.2613], [0.7578, 0.7578, 0.7265]]
}